No. 1
First-principles (PBE-GGA) data for a geometry-optimized Pa4SbN6 structure, as listed in Alexandria.

The structure belongs to space group I4/mmm (No. 139); the cell edges are 3.892, 3.892 and 24.137 Å and the angles 90.00°, 90.00° and 90.00°. The distinct sites, in fractional coordinates, are Pa at (0.000, 0.000, 0.093), Pa at (0.000, 0.000, 0.303), Sb at (0.000, 0.000, 0.500), N at (0.000, 0.500, 0.135) and N at (0.000, 0.500, 0.250).

The value obtained for the total DFT energy (no corrections) is -9.9751 eV/atom. Its crystal system is tetragonal. Its density of states at the Fermi level is 0.406 states/eV/atom.



No. 2
First-principles (PBE-GGA) data for a geometry-optimized Pa2Sb2N structure, as listed in Alexandria.

The structure belongs to space group Ibam (No. 72); the cell edges are 6.387, 12.667 and 5.926 Å and the angles 90.00°, 90.00° and 90.00°. The distinct sites, in fractional coordinates, are Pa at (0.196, 0.097, 0.000), Sb at (0.180, 0.346, 0.000) and N at (0.000, 0.000, 0.250).

The value obtained for the total DFT energy (no corrections) is -7.9995 eV/atom. Its crystal system is orthorhombic. Its density of states at the Fermi level is 1.024 states/eV/atom.



No. 3
First-principles (PBE-GGA) data for a geometry-optimized PaSbN structure, as listed in Alexandria.

The structure belongs to space group P4/nmm (No. 129, origin choice 2); the cell edges are 4.181, 4.181 and 7.333 Å and the angles 90.00°, 90.00° and 90.00°. The distinct sites, in fractional coordinates, are Pa at (0.250, 0.250, 0.144), Sb at (0.250, 0.750, 0.500) and N at (0.250, 0.750, 0.000).

The value obtained for the total DFT energy (no corrections) is -8.4556 eV/atom. Its crystal system is tetragonal. Its density of states at the Fermi level is 0.985 states/eV/atom. As for the polymorph energy (0 for the lowest one): 0.105 eV per atom.



No. 4
First-principles (PBE-GGA) data for a geometry-optimized PaSbN structure, as listed in Alexandria.

The structure belongs to space group P4/nmm (No. 129, origin choice 2); the cell edges are 3.959, 3.959 and 7.636 Å and the angles 90.00°, 90.00° and 90.00°. The distinct sites, in fractional coordinates, are Pa at (0.250, 0.250, 0.153), Sb at (0.250, 0.250, 0.609) and N at (0.250, 0.750, 0.000).

The value obtained for the total DFT energy (no corrections) is -8.5606 eV/atom. Its crystal system is tetragonal. Its density of states at the Fermi level is 0.947 states/eV/atom. As for the polymorph energy (0 for the lowest one): 0.000 eV per atom.



No. 5
First-principles (PBE-GGA) data for a geometry-optimized Pa3SbN4 structure, as listed in Alexandria.

The structure belongs to space group P4/mmm (No. 123); the cell edges are 3.901, 3.901 and 8.990 Å and the angles 90.00°, 90.00° and 90.00°. The distinct sites, in fractional coordinates, are Pa at (0.000, 0.000, 0.000), Pa at (0.500, 0.500, 0.275), Sb at (0.000, 0.000, 0.500) and N at (0.000, 0.500, 0.154).

The value obtained for the total DFT energy (no corrections) is -9.8866 eV/atom. Its crystal system is tetragonal. Its density of states at the Fermi level is 0.033 states/eV/atom.



No. 6
First-principles (PBE-GGA) data for a geometry-optimized Pa3Sb2N2 structure, as listed in Alexandria.

The structure belongs to space group C2/m (No. 12); the cell edges are 12.294, 3.985 and 7.492 Å and the angles 90.00°, 122.85° and 90.00°. The distinct sites, in fractional coordinates, are Pa at (0.000, 0.000, 0.000), Pa at (0.195, 0.000, 0.762), Sb at (0.074, 0.500, 0.363) and N at (0.205, 0.000, 0.073).

The value obtained for the total DFT energy (no corrections) is -8.7955 eV/atom. Its crystal system is monoclinic. Its density of states at the Fermi level is 1.282 states/eV/atom.



No. 7
First-principles (PBE-GGA) data for a geometry-optimized Pa3Sb5N12 structure, as listed in Alexandria.

The structure belongs to space group Ia-3d (No. 230); the cell edges are 13.233, 13.233 and 13.233 Å and the angles 90.00°, 90.00° and 90.00°. The distinct sites, in fractional coordinates, are Pa at (0.000, 0.250, 0.125), Sb at (0.000, 0.000, 0.000), Sb at (0.000, 0.250, 0.375) and N at (0.021, 0.064, 0.656).

The value obtained for the total DFT energy (no corrections) is -7.6352 eV/atom. Its crystal system is cubic. Its density of states at the Fermi level is 0.297 states/eV/atom.



No. 8
First-principles (PBE-GGA) data for a geometry-optimized SmPaSb2N structure, as listed in Alexandria.

The structure belongs to space group P4/nmm (No. 129, origin choice 2); the cell edges are 4.012, 4.012 and 16.699 Å and the angles 90.00°, 90.00° and 90.00°. The distinct sites, in fractional coordinates, are Sm at (0.250, 0.250, 0.138), Pa at (0.250, 0.250, 0.568), Sb at (0.250, 0.250, 0.326), Sb at (0.250, 0.250, 0.938) and N at (0.250, 0.750, 0.500).

The value obtained for the total DFT energy (no corrections) is -7.1600 eV/atom. Its crystal system is tetragonal. Its density of states at the Fermi level is 0.544 states/eV/atom.



No. 9
First-principles (PBE-GGA) data for a geometry-optimized Sm2PaSbN5 structure, as listed in Alexandria.

The structure belongs to space group Cmc2_1 (No. 36); the cell edges are 3.574, 14.372 and 10.629 Å and the angles 90.00°, 90.00° and 90.00°. The distinct sites, in fractional coordinates, are Sm at (0.000, 0.114, 0.000), Sm at (0.000, 0.133, 0.589), Pa at (0.000, 0.217, 0.307), Sb at (0.000, 0.485, 0.775), N at (0.000, 0.052, 0.363), N at (0.000, 0.282, 0.945), N at (0.000, 0.301, 0.672), N at (0.000, 0.371, 0.309) and N at (0.000, 0.496, 0.084).

The value obtained for the total DFT energy (no corrections) is -8.0943 eV/atom. Its crystal system is orthorhombic. Its density of states at the Fermi level is 0.154 states/eV/atom.



No. 10
First-principles (PBE-GGA) data for a geometry-optimized PaSnSb2N structure, as listed in Alexandria.

The structure belongs to space group P4/nmm (No. 129, origin choice 2); the cell edges are 3.968, 3.968 and 16.410 Å and the angles 90.00°, 90.00° and 90.00°. The distinct sites, in fractional coordinates, are Pa at (0.250, 0.250, 0.071), Sn at (0.250, 0.250, 0.649), Sb at (0.250, 0.250, 0.422), Sb at (0.250, 0.250, 0.825) and N at (0.250, 0.750, 0.000).

The value obtained for the total DFT energy (no corrections) is -6.6980 eV/atom. Its crystal system is tetragonal. Its density of states at the Fermi level is 0.524 states/eV/atom.



No. 11
First-principles (PBE-GGA) data for a geometry-optimized PaSnSbN structure, as listed in Alexandria.

The structure belongs to space group P4/nmm (No. 129, origin choice 2); the cell edges are 4.067, 4.067 and 11.175 Å and the angles 90.00°, 90.00° and 90.00°. The distinct sites, in fractional coordinates, are Pa at (0.250, 0.250, 0.100), Sn at (0.250, 0.750, 0.500), Sb at (0.250, 0.250, 0.746) and N at (0.250, 0.750, 0.000).

The value obtained for the total DFT energy (no corrections) is -7.3047 eV/atom. Its crystal system is tetragonal. Its density of states at the Fermi level is 0.258 states/eV/atom.



No. 12
First-principles (PBE-GGA) data for a geometry-optimized Sr3Pa3SbN8 structure, as listed in Alexandria.

The structure belongs to space group R-3m (No. 166, hexagonal axes); the cell edges are 7.1846, 7.1846 and 17.8255 Å and the angles 90.00°, 90.00° and 120.00°. The distinct sites, in fractional coordinates, are Sr at (0.0000, 0.5000, 0.0000), Pa at (0.0000, 0.5000, 0.5000), Sb at (0.0000, 0.0000, 0.5000), N at (0.0000, 0.0000, 0.2376) and N at (0.0189, 0.5095, 0.7719).

The value obtained for the total DFT energy (no corrections) is -7.9907 eV/atom. Its crystal system is trigonal.



No. 13
First-principles (PBE-GGA) data for a geometry-optimized TbPaSbN2 structure, as listed in Alexandria.

The structure belongs to space group I4mm (No. 107); the cell edges are 3.938, 3.938 and 13.277 Å and the angles 90.00°, 90.00° and 90.00°. The distinct sites, in fractional coordinates, are Tb at (0.000, 0.000, 0.000), Pa at (0.000, 0.000, 0.337), Sb at (0.000, 0.000, 0.666) and N at (0.000, 0.500, 0.408).

The value obtained for the total DFT energy (no corrections) is -8.4347 eV/atom. Its crystal system is tetragonal. Its density of states at the Fermi level is 0.415 states/eV/atom.



No. 14
First-principles (PBE-GGA) data for a geometry-optimized Tb2PaSb2N2 structure, as listed in Alexandria.

The structure belongs to space group I4/mmm (No. 139); the cell edges are 4.370, 4.370 and 16.142 Å and the angles 90.00°, 90.00° and 90.00°. The distinct sites, in fractional coordinates, are Tb at (0.000, 0.000, 0.111), Pa at (0.000, 0.000, 0.500), Sb at (0.000, 0.000, 0.307) and N at (0.000, 0.500, 0.000).

The value obtained for the total DFT energy (no corrections) is -7.3423 eV/atom. Its crystal system is tetragonal. Its density of states at the Fermi level is 0.561 states/eV/atom.



No. 15
First-principles (PBE-GGA) data for a geometry-optimized Tb2PaSbN5 structure, as listed in Alexandria.

The structure belongs to space group Cmcm (No. 63); the cell edges are 3.578, 14.245 and 11.141 Å and the angles 90.00°, 90.00° and 90.00°. The distinct sites, in fractional coordinates, are Tb at (0.000, 0.139, 0.003), Pa at (0.000, 0.268, 0.250), Sb at (0.000, 0.492, 0.750), N at (0.000, 0.087, 0.250), N at (0.000, 0.264, 0.621) and N at (0.000, 0.407, 0.116).

The value obtained for the total DFT energy (no corrections) is -8.1342 eV/atom. Its crystal system is orthorhombic. Its density of states at the Fermi level is 0.181 states/eV/atom.



No. 16
First-principles (PBE-GGA) data for a geometry-optimized Pa2SbTe2N2 structure, as listed in Alexandria.

The structure belongs to space group P-3m1 (No. 164); the cell edges are 3.7951, 3.7951 and 14.4270 Å and the angles 90.00°, 90.00° and 120.00°. The distinct sites, in fractional coordinates, are Pa at (0.3333, 0.6667, 0.3026), Sb at (0.0000, 0.0000, 0.5000), Te at (0.0000, 0.0000, 0.1412) and N at (0.3333, 0.6667, 0.6824).

The value obtained for the total DFT energy (no corrections) is -7.4515 eV/atom. Its crystal system is trigonal. Its density of states at the Fermi level is 0.743 states/eV/atom.



No. 17
First-principles (PBE-GGA) data for a geometry-optimized Pa2SbTe2N structure, as listed in Alexandria.

The structure belongs to space group Ibam (No. 72); the cell edges are 7.691, 14.003 and 5.883 Å and the angles 90.00°, 90.00° and 90.00°. The distinct sites, in fractional coordinates, are Pa at (0.162, 0.091, 0.000), Sb at (0.000, 0.500, 0.250), Te at (0.185, 0.194, 0.500) and N at (0.000, 0.000, 0.250).

The value obtained for the total DFT energy (no corrections) is -7.3033 eV/atom. Its crystal system is orthorhombic. Its density of states at the Fermi level is 0.851 states/eV/atom.



No. 18
First-principles (PBE-GGA) data for a geometry-optimized ThPaSbN2 structure, as listed in Alexandria.

The structure belongs to space group I4mm (No. 107); the cell edges are 4.000, 4.000 and 12.719 Å and the angles 90.00°, 90.00° and 90.00°. The distinct sites, in fractional coordinates, are Th at (0.000, 0.000, 0.000), Pa at (0.000, 0.000, 0.316), Sb at (0.000, 0.000, 0.661) and N at (0.000, 0.500, 0.398).

The value obtained for the total DFT energy (no corrections) is -9.1340 eV/atom. Its crystal system is tetragonal. Its density of states at the Fermi level is 0.080 states/eV/atom.



No. 19
First-principles (PBE-GGA) data for a geometry-optimized ThPaSb2N structure, as listed in Alexandria.

The structure belongs to space group P4/nmm (No. 129, origin choice 2); the cell edges are 4.200, 4.200 and 16.127 Å and the angles 90.00°, 90.00° and 90.00°. The distinct sites, in fractional coordinates, are Th at (0.250, 0.250, 0.068), Pa at (0.250, 0.250, 0.619), Sb at (0.250, 0.250, 0.419), Sb at (0.250, 0.250, 0.801) and N at (0.250, 0.750, 0.000).

The value obtained for the total DFT energy (no corrections) is -7.4941 eV/atom. Its crystal system is tetragonal. Its density of states at the Fermi level is 0.665 states/eV/atom.



Asked for density across the records above, the calculation gives 10.26, 9.97, 9.50, 10.18, 10.57, 10.39, 8.43, 7.90, 8.80, 7.81, 8.72, 7.44, 8.70, 8.84, 8.66, 8.00, 8.94, 10.00, 8.41 Mg/m³ in order.